DFT (PBE) results for a relaxed structure of Ce2Mg12Hg7.

Cell lengths 4.3124, 11.5036, 11.5036 Å; angles 120.00, 90.00, 90.00 degrees
Last column: nearest neighbours and their distance in Å.
Atoms (fractional coordinates):
Ce 0.5000 0.0000 0.0000  6 Hg 3.37, 6 Mg 3.73
Ce 0.0000 0.6667 0.3333  6 Hg 3.35
Mg 0.5000 0.9027 0.6222  4 Hg 2.82-2.88, 4 Mg 3.12-3.15
Mg 0.5000 0.7195 0.0973  4 Hg 2.82-2.88, 4 Mg 3.12-3.15
Mg 0.5000 0.3778 0.2805  4 Hg 2.82-2.88, 4 Mg 3.12-3.15
Mg 0.5000 0.2384 0.8022  5 Hg 3.06-3.16, 7 Mg 3.35-3.40
Mg 0.5000 0.5638 0.7616  5 Hg 3.06-3.16, 7 Mg 3.35-3.40
Mg 0.5000 0.1978 0.4362  5 Hg 3.06-3.16, 7 Mg 3.35-3.40
Mg 0.0000 0.0526 0.5502  4 Hg 2.81-2.94, 2 Mg 3.12
Mg 0.0000 0.4976 0.9474  4 Hg 2.81-2.94, 2 Mg 3.12
Mg 0.0000 0.4498 0.5024  4 Hg 2.81-2.94, 2 Mg 3.12
Mg 0.0000 0.7644 0.7134  4 Hg 2.79-2.89
Mg 0.0000 0.9490 0.2356  4 Hg 2.79-2.89
Mg 0.0000 0.2866 0.0510  4 Hg 2.79-2.89
Hg 0.0000 0.3333 0.6667  3 Mg 2.81
Hg 0.0000 0.0485 0.8035  7 Mg 2.79-3.07
Hg 0.0000 0.7550 0.9515  7 Mg 2.79-3.07
Hg 0.0000 0.1965 0.2450  7 Mg 2.79-3.07
Hg 0.5000 0.6253 0.5321  7 Mg 2.82-3.06
Hg 0.5000 0.9068 0.3747  7 Mg 2.82-3.06
Hg 0.5000 0.4679 0.0932  7 Mg 2.82-3.06

Values from the calculation:
Space group: P-6, No. 174
Volume: 23.534 Å³ per atom
Calculated formation energy: -239 meV per atom